Arrangement P

{"formula": "Sm4Dy3Ho4", "functional": "GGA-PBE", "state": "optimized geometry", "lattice": [[3.481, 0.000, -0.641], [-1.013, 9.772, -5.501], [0.201, -0.351, 10.862]], "species": ["Sm", "Sm", "Sm", "Sm", "Dy", "Dy", "Dy", "Ho", "Ho", "Ho", "Ho"], "fractional_positions": [[0.785, 0.285, 0.569], [0.215, 0.715, 0.431], [0.500, 0.789, 0.000], [0.500, 0.211, 0.000], [0.892, 0.892, 0.784], [0.108, 0.108, 0.216], [0.000, 0.500, 0.000], [0.671, 0.425, 0.343], [0.329, 0.082, 0.657], [0.329, 0.575, 0.657], [0.671, 0.918, 0.343]], "spacegroup": "Immm, No. 71", "vol_a3_per_cell": 363.7, "magnetic_moment_mub_per_fu": 0.00}

Arrangement Q

{"formula": "Sm4Dy3Ho4", "functional": "GGA-PBE", "state": "optimized geometry", "lattice": [[-2.547, 2.299, -0.755], [-3.404, -2.556, 3.694], [2.923, 10.644, 14.354]], "species": ["Sm", "Sm", "Sm", "Sm", "Dy", "Dy", "Dy", "Ho", "Ho", "Ho", "Ho"], "fractional_positions": [[0.590, 0.091, 0.819], [0.268, 0.267, 0.465], [0.732, 0.733, 0.535], [0.410, 0.909, 0.181], [0.136, 0.636, 0.728], [0.864, 0.364, 0.272], [0.000, 0.000, 0.000], [0.546, 0.546, 0.909], [0.454, 0.454, 0.091], [0.319, 0.819, 0.361], [0.681, 0.181, 0.639]], "spacegroup": "P-1, No. 2", "vol_a3_per_cell": 352.5, "magnetic_moment_mub_per_fu": 0.00}

Relative stability in eV/atom, measured from the most stable structure: arrangement P 0.116; arrangement Q 0.000

Arrangement P

{"formula": "SmDy2Ho9", "functional": "GGA-PBE", "state": "optimized geometry", "lattice": [[-3.511, -1.433, -3.257], [3.387, 0.057, -3.676], [3.274, -14.370, 2.794]], "species": ["Sm", "Dy", "Dy", "Ho", "Ho", "Ho", "Ho", "Ho", "Ho", "Ho", "Ho", "Ho"], "fractional_positions": [[0.000, 0.000, 0.000], [0.000, 0.000, 0.334], [0.000, 0.000, 0.666], [0.500, 0.500, 0.000], [0.500, 0.500, 0.334], [0.500, 0.500, 0.666], [0.500, 0.000, 0.168], [0.500, 0.000, 0.500], [0.500, 0.000, 0.832], [0.000, 0.500, 0.168], [0.000, 0.500, 0.500], [0.000, 0.500, 0.832]], "spacegroup": "P4/mmm, No. 123", "vol_a3_per_cell": 374.9, "magnetic_moment_mub_per_fu": 0.00}

Arrangement Q

{"formula": "SmDy2Ho9", "functional": "GGA-PBE", "state": "optimized geometry", "lattice": [[3.494, 0.000, 0.000], [0.000, 11.171, 0.000], [0.000, -5.586, 9.675]], "species": ["Sm", "Dy", "Dy", "Ho", "Ho", "Ho", "Ho", "Ho", "Ho", "Ho", "Ho", "Ho"], "fractional_positions": [[0.000, 0.000, 0.000], [0.000, 0.333, 0.667], [0.000, 0.667, 0.333], [0.000, 0.000, 0.500], [0.000, 0.500, 0.500], [0.000, 0.500, 0.000], [0.500, 0.355, 0.177], [0.500, 0.177, 0.823], [0.500, 0.177, 0.355], [0.500, 0.823, 0.645], [0.500, 0.823, 0.177], [0.500, 0.645, 0.823]], "spacegroup": "P6/mmm, No. 191", "vol_a3_per_cell": 377.6, "magnetic_moment_mub_per_fu": 0.00}

Relative stability in eV/atom, measured from the most stable structure: arrangement P 0.000; arrangement Q 0.024

Arrangement P

{"formula": "Sm3Dy5Ho2", "functional": "GGA-PBE", "state": "optimized geometry", "lattice": [[-5.338, -2.792, 2.076], [0.138, -10.285, -3.697], [1.109, -1.370, 10.788]], "species": ["Sm", "Sm", "Sm", "Sm", "Sm", "Sm", "Dy", "Dy", "Dy", "Dy", "Dy", "Dy", "Dy", "Dy", "Dy", "Dy", "Ho", "Ho", "Ho", "Ho"], "fractional_positions": [[0.250, 0.000, 0.000], [0.750, 0.000, 0.000], [0.412, 0.421, 0.755], [0.588, 0.579, 0.245], [0.912, 0.755, 0.421], [0.088, 0.245, 0.579], [0.250, 0.500, 0.500], [0.750, 0.500, 0.500], [0.501, 0.749, 0.749], [0.999, 0.251, 0.251], [0.499, 0.251, 0.251], [0.001, 0.749, 0.749], [0.260, 0.410, 0.071], [0.740, 0.590, 0.929], [0.760, 0.071, 0.410], [0.240, 0.929, 0.590], [0.093, 0.739, 0.075], [0.907, 0.261, 0.925], [0.593, 0.075, 0.739], [0.407, 0.925, 0.261]], "spacegroup": "Ibam, No. 72", "vol_a3_per_cell": 658.2, "magnetic_moment_mub_per_fu": 0.00}

Arrangement Q

{"formula": "Sm3Dy5Ho2", "functional": "GGA-PBE", "state": "optimized geometry", "lattice": [[-4.826, -4.811, 6.576], [2.104, -9.192, -0.282], [7.228, 8.186, 2.025]], "species": ["Sm", "Sm", "Sm", "Sm", "Sm", "Sm", "Dy", "Dy", "Dy", "Dy", "Dy", "Dy", "Dy", "Dy", "Dy", "Dy", "Ho", "Ho", "Ho", "Ho"], "fractional_positions": [[0.233, 0.983, 0.967], [0.767, 0.017, 0.033], [0.733, 0.472, 0.251], [0.267, 0.528, 0.749], [0.018, 0.779, 0.251], [0.982, 0.221, 0.749], [0.272, 0.522, 0.044], [0.728, 0.478, 0.956], [0.026, 0.776, 0.552], [0.530, 0.280, 0.561], [0.974, 0.224, 0.448], [0.470, 0.720, 0.439], [0.850, 0.602, 0.728], [0.150, 0.398, 0.272], [0.378, 0.126, 0.728], [0.622, 0.874, 0.272], [0.772, 0.011, 0.736], [0.228, 0.989, 0.264], [0.464, 0.726, 0.736], [0.536, 0.274, 0.264]], "spacegroup": "C2/c, No. 15", "vol_a3_per_cell": 659.1, "magnetic_moment_mub_per_fu": 0.00}

Relative stability in eV/atom, measured from the most stable structure: arrangement P 0.103; arrangement Q 0.000

Arrangement P

{"formula": "Sm12Dy2Ho5", "functional": "GGA-PBE", "state": "optimized geometry", "lattice": [[-4.722, 0.360, 9.178], [4.478, -7.510, -3.212], [6.812, 2.301, 3.415]], "species": ["Sm", "Sm", "Sm", "Sm", "Sm", "Sm", "Sm", "Sm", "Sm", "Sm", "Sm", "Sm", "Dy", "Dy", "Ho", "Ho", "Ho", "Ho", "Ho"], "fractional_positions": [[0.855, 0.709, 0.116], [0.041, 0.618, 0.795], [0.578, 0.618, 0.795], [0.168, 0.788, 0.388], [0.621, 0.788, 0.388], [0.448, 0.896, 0.710], [0.552, 0.104, 0.290], [0.832, 0.212, 0.612], [0.379, 0.212, 0.612], [0.959, 0.382, 0.205], [0.422, 0.382, 0.205], [0.145, 0.291, 0.884], [0.748, 0.000, 0.000], [0.252, 0.000, 0.000], [0.244, 0.489, 0.512], [0.349, 0.697, 0.088], [0.000, 0.000, 0.500], [0.651, 0.303, 0.912], [0.756, 0.511, 0.488]], "spacegroup": "C2/m, No. 12", "vol_a3_per_cell": 636.9, "magnetic_moment_mub_per_fu": 0.01}

Arrangement Q

{"formula": "Sm12Dy2Ho5", "functional": "GGA-PBE", "state": "optimized geometry", "lattice": [[-10.238, -5.566, -0.021], [6.042, 1.054, 8.696], [-2.957, 5.440, -0.002]], "species": ["Sm", "Sm", "Sm", "Sm", "Sm", "Sm", "Sm", "Sm", "Sm", "Sm", "Sm", "Sm", "Dy", "Dy", "Ho", "Ho", "Ho", "Ho", "Ho"], "fractional_positions": [[0.121, 0.241, 0.999], [0.060, 0.605, 0.801], [0.546, 0.605, 0.801], [0.146, 0.793, 0.384], [0.647, 0.793, 0.384], [0.444, 0.889, 0.726], [0.556, 0.111, 0.274], [0.854, 0.207, 0.616], [0.353, 0.207, 0.616], [0.940, 0.395, 0.199], [0.454, 0.395, 0.199], [0.879, 0.759, 0.001], [0.771, 0.000, 0.000], [0.229, 0.000, 0.000], [0.215, 0.430, 0.552], [0.323, 0.645, 0.140], [0.000, 0.000, 0.500], [0.677, 0.355, 0.860], [0.785, 0.570, 0.448]], "spacegroup": "C2/m, No. 12", "vol_a3_per_cell": 626.6, "magnetic_moment_mub_per_fu": 0.00}

Relative stability in eV/atom, measured from the most stable structure: arrangement P 0.031; arrangement Q 0.000